[1]
This record from Alexandria describes crystalline Ga2Ni8Pt at its relaxed geometry. The functional is PBE-GGA. Values from VASP.

Values from the calculation:
- E_form (eV/atom) = -0.02
- mass density (Mg/m³) = 9.67
- crystal system = orthorhombic
- Fermi-level density of states (states/eV/f.u.) = 16.68
- energy relative to the lowest polymorph listed for this composition (meV per atom) = 6

Quantum ESPRESSO input file:
```
&SYSTEM
  ibrav = 0, nat = 11, ntyp = 3
/
ATOMIC_SPECIES
Ga 69.72 Ga.upf
Ni 58.69 Ni.upf
Pt 195.08 Pt.upf
CELL_PARAMETERS angstrom
3.6918 -4.9545 0.0000
3.6918 4.9545 0.0000
0.0000 0.0000 3.7742
ATOMIC_POSITIONS angstrom
Ga 3.6918 3.6972 0.0000
Ga 3.6918 -3.6972 0.0000
Ni 1.2103 0.0000 1.8871
Ni 2.4220 1.3204 0.0000
Ni 3.6918 2.4395 1.8871
Ni 2.4220 -1.3204 0.0000
Ni 4.9616 1.3204 0.0000
Ni 3.6918 -2.4395 1.8871
Ni 4.9616 -1.3204 0.0000
Ni 6.1733 0.0000 1.8871
Pt 3.6918 0.0000 1.8871
```

=====

[2]
This record from Alexandria describes crystalline NdReSi2 at its relaxed geometry. The functional is PBE-GGA. Values from VASP.

Values from the calculation:
- uncorrected formation energy (eV per atom) = -0.55
- mass density (Mg/m³) = 8.56
- crystal system = orthorhombic
- Fermi-level density of states (states/eV/f.u.) = 2.13

Quantum ESPRESSO input file:
```
&SYSTEM
  ibrav = 0, nat = 16, ntyp = 3
/
ATOMIC_SPECIES
Nd 144.24 Nd.upf
Re 186.21 Re.upf
Si 28.09 Si.upf
CELL_PARAMETERS angstrom
7.3125 0.0000 0.0000
0.0000 4.0451 0.0000
0.0000 0.0000 10.1440
ATOMIC_POSITIONS angstrom
Nd 1.0474 1.0113 1.2902
Nd 2.6088 3.0338 6.3622
Nd 4.7037 1.0113 3.7818
Nd 6.2651 3.0338 8.8538
Re 0.1008 3.0338 4.0085
Re 3.5554 1.0113 9.0805
Re 3.7571 3.0338 1.0635
Re 7.2117 1.0113 6.1355
Si 1.1712 1.0113 8.2158
Si 1.5051 1.0113 4.3180
Si 2.1512 3.0338 9.3900
Si 2.4851 3.0338 3.1438
Si 4.8274 1.0113 7.0001
Si 5.1613 1.0113 0.7539
Si 5.8074 3.0338 5.8259
Si 6.1413 3.0338 1.9282
```

=====

[3]
This record from Alexandria describes crystalline La3YSc4O12 at its relaxed geometry. The functional is PBE-GGA. Values from VASP.

Values from the calculation:
- uncorrected formation energy (eV per atom) = -3.52
- mass density (Mg/m³) = 5.46
- crystal system = monoclinic
- Fermi-level density of states (states/eV/f.u.) = 0.00

Quantum ESPRESSO input file:
```
&SYSTEM
  ibrav = 0, nat = 20, ntyp = 4
/
ATOMIC_SPECIES
La 138.91 La.upf
Y 88.91 Y.upf
Sc 44.96 Sc.upf
O 16.00 O.upf
CELL_PARAMETERS angstrom
5.6448 0.0000 0.0000
0.0000 8.1132 0.0000
-0.0077 0.0000 5.8243
ATOMIC_POSITIONS angstrom
La 0.0000 0.0000 0.0000
La 0.1434 4.0566 0.5781
La 2.8197 4.0566 3.4516
Y 2.9967 0.0000 2.8538
Sc 0.0718 1.9938 3.1957
Sc 0.0718 6.1194 3.1957
Sc 2.8757 2.0032 0.2722
Sc 2.8757 6.1100 0.2722
O 0.7928 0.0000 3.4113
O 1.1549 2.4417 4.9597
O 1.1549 5.6716 4.9597
O 1.7325 2.4838 2.0075
O 1.7325 5.6295 2.0075
O 2.2960 0.0000 0.6054
O 3.4588 4.0566 0.0557
O 3.9718 1.5014 4.3220
O 3.9718 6.6119 4.3220
O 4.5349 1.5420 1.4901
O 4.5349 6.5712 1.4901
O 5.1362 4.0566 3.0066
```

=====

Copy entry 1 word for word.
This record from Alexandria describes crystalline Ga2Ni8Pt at its relaxed geometry. The functional is PBE-GGA. Values from VASP.

Values from the calculation:
- E_form (eV/atom) = -0.02
- mass density (Mg/m³) = 9.67
- crystal system = orthorhombic
- Fermi-level density of states (states/eV/f.u.) = 16.68
- energy relative to the lowest polymorph listed for this composition (meV per atom) = 6

Quantum ESPRESSO input file:
```
&SYSTEM
  ibrav = 0, nat = 11, ntyp = 3
/
ATOMIC_SPECIES
Ga 69.72 Ga.upf
Ni 58.69 Ni.upf
Pt 195.08 Pt.upf
CELL_PARAMETERS angstrom
3.6918 -4.9545 0.0000
3.6918 4.9545 0.0000
0.0000 0.0000 3.7742
ATOMIC_POSITIONS angstrom
Ga 3.6918 3.6972 0.0000
Ga 3.6918 -3.6972 0.0000
Ni 1.2103 0.0000 1.8871
Ni 2.4220 1.3204 0.0000
Ni 3.6918 2.4395 1.8871
Ni 2.4220 -1.3204 0.0000
Ni 4.9616 1.3204 0.0000
Ni 3.6918 -2.4395 1.8871
Ni 4.9616 -1.3204 0.0000
Ni 6.1733 0.0000 1.8871
Pt 3.6918 0.0000 1.8871
```

=====

Repeat the second record exactly.
This record from Alexandria describes crystalline NdReSi2 at its relaxed geometry. The functional is PBE-GGA. Values from VASP.

Values from the calculation:
- uncorrected formation energy (eV per atom) = -0.55
- mass density (Mg/m³) = 8.56
- crystal system = orthorhombic
- Fermi-level density of states (states/eV/f.u.) = 2.13

Quantum ESPRESSO input file:
```
&SYSTEM
  ibrav = 0, nat = 16, ntyp = 3
/
ATOMIC_SPECIES
Nd 144.24 Nd.upf
Re 186.21 Re.upf
Si 28.09 Si.upf
CELL_PARAMETERS angstrom
7.3125 0.0000 0.0000
0.0000 4.0451 0.0000
0.0000 0.0000 10.1440
ATOMIC_POSITIONS angstrom
Nd 1.0474 1.0113 1.2902
Nd 2.6088 3.0338 6.3622
Nd 4.7037 1.0113 3.7818
Nd 6.2651 3.0338 8.8538
Re 0.1008 3.0338 4.0085
Re 3.5554 1.0113 9.0805
Re 3.7571 3.0338 1.0635
Re 7.2117 1.0113 6.1355
Si 1.1712 1.0113 8.2158
Si 1.5051 1.0113 4.3180
Si 2.1512 3.0338 9.3900
Si 2.4851 3.0338 3.1438
Si 4.8274 1.0113 7.0001
Si 5.1613 1.0113 0.7539
Si 5.8074 3.0338 5.8259
Si 6.1413 3.0338 1.9282
```

=====

Q: Number 2 is which compound?
A: NdReSi2